Compound: NaPd2Pb
Source: Alexandria via LeMat-Bulk
Functional: GGA-PBE
Structure: optimized geometry

Structure (CIF):
```
data_NaPd2Pb
_cell_length_a 3.4794
_cell_length_b 3.4794
_cell_length_c 6.5963
_cell_angle_alpha 90.00
_cell_angle_beta 90.00
_cell_angle_gamma 90.00
_space_group_name_H-M_alt 'P 4/m m m'
_space_group_IT_number 123
_space_group_name_Hall '-P 4 2'
loop_
_atom_site_label
_atom_site_fract_x
_atom_site_fract_y
_atom_site_fract_z
_atom_site_occupancy
Na1 0.0000 0.0000 0.0000 1
Pd1 0.5000 0.5000 0.2672 1
Pb1 0.0000 0.0000 0.5000 1
```

Properties
magnetic moment: 0.00 μB per cell
E: -4.00 eV per atom
calculated density: 9212 kg/m³
energy relative to the elements: -0.142 eV/atom
DOS at the Fermi energy: 1.0 states/eV per cell